Entry 1:
DFT (SCAN) results for a crystal of LiMg2W relaxed with PBEsol.

Cell and atoms, written as CIF:
```
data_LiMg2W
_symmetry_space_group_name_H-M 'I -4 2 d'
_symmetry_Int_Tables_number 122
_symmetry_space_group_name_Hall 'I -4 2bw'
_cell_length_a 7.024
_cell_length_b 7.024
_cell_length_c 5.503
_cell_angle_alpha 90.00
_cell_angle_beta 90.00
_cell_angle_gamma 90.00
loop_
_atom_site_label
_atom_site_type_symbol
_atom_site_fract_x
_atom_site_fract_y
_atom_site_fract_z
_atom_site_occupancy
Li1 Li 0.000 0.000 0.000 1
Mg1 Mg 0.217 0.750 0.125 1
W1 W 0.000 0.000 0.500 1
```

Results
Energy of formation (kJ/mol of atoms): 98
Crystal system: tetragonal
Relative energy among the computed polymorphs (meV/atom): 667


Entry 2:
DFT (SCAN) results for a crystal of LiMgW2 relaxed with PBEsol.

Cell and atoms, written as CIF:
```
data_LiMgW2
_symmetry_space_group_name_H-M 'C 1 m 1'
_symmetry_Int_Tables_number 8
_cell_length_a 9.173
_cell_length_b 2.603
_cell_length_c 5.408
_cell_angle_alpha 90.00
_cell_angle_beta 92.91
_cell_angle_gamma 90.00
loop_
_symmetry_equiv_pos_as_xyz
'x,y,z'
'x,-y,z'
'x+1/2,y+1/2,z'
'x+1/2,-y+1/2,z'
loop_
_atom_site_label
_atom_site_type_symbol
_atom_site_fract_x
_atom_site_fract_y
_atom_site_fract_z
_atom_site_occupancy
Li1 Li 0.000 0.000 0.000 1
Mg1 Mg 0.247 0.000 0.770 1
W1 W 0.000 0.500 0.478 1
W2 W 0.248 0.500 0.275 1
```

Results
Energy of formation (kJ/mol of atoms): 49
Crystal system: monoclinic


Entry 3:
DFT (SCAN) results for a crystal of LiMg2W relaxed with PBEsol.

Cell and atoms, written as CIF:
```
data_LiMg2W
_symmetry_space_group_name_H-M 'C m m 2'
_symmetry_Int_Tables_number 35
_cell_length_a 3.138
_cell_length_b 4.545
_cell_length_c 9.812
_cell_angle_alpha 90.00
_cell_angle_beta 90.00
_cell_angle_gamma 90.00
loop_
_symmetry_equiv_pos_as_xyz
'x,y,z'
'-x,-y,z'
'-x,y,z'
'x,-y,z'
'x+1/2,y+1/2,z'
'-x+1/2,-y+1/2,z'
'-x+1/2,y+1/2,z'
'x+1/2,-y+1/2,z'
loop_
_atom_site_label
_atom_site_type_symbol
_atom_site_fract_x
_atom_site_fract_y
_atom_site_fract_z
_atom_site_occupancy
Li1 Li 0.000 0.000 0.000 1
Mg1 Mg 0.000 0.000 0.475 1
Mg2 Mg 0.000 0.500 0.744 1
W1 W 0.000 0.500 0.235 1
```

Results
Energy of formation (kJ/mol of atoms): 33
Crystal system: orthorhombic
Relative energy among the computed polymorphs (meV/atom): 0